Record 1
DFT (GGA-PBE) results for crystalline Na3PaCd2S6 at its relaxed geometry.

Results
energy relative to the elements, uncorrected: -1150 meV per atom
energy: -53.85 eV for the cell shown
DOS at the Fermi energy: 0.00 states/eV per atom

a = 6.7566 Å, b = 6.7566 Å, c = 7.1163 Å
α = 99.11°, β = 99.11°, γ = 119.98°
With the nearest neighbours (Å) after each atom.
Atoms (fractional coordinates):
Pa 0.0000 0.0000 0.0000  6 S 2.67-2.68
S 0.3995 0.0759 0.2289  1 Pa 2.68, 2 Cd 2.76, 3 Na 2.88-2.92
Cd 0.3339 0.6661 0.0000  6 S 2.75-2.76
S 0.0759 0.3995 0.2289  1 Pa 2.68, 2 Cd 2.76, 3 Na 2.88-2.92
S 0.7532 0.7532 0.2281  1 Pa 2.67, 2 Cd 2.75, 3 Na 2.91-2.96
Na 0.8291 0.1709 0.5000  6 S 2.88-2.92
S 0.9241 0.6005 0.7711  1 Pa 2.68, 2 Cd 2.76, 3 Na 2.88-2.92
Cd 0.6661 0.3339 0.0000  6 S 2.75-2.76
S 0.2468 0.2468 0.7719  1 Pa 2.67, 2 Cd 2.75, 3 Na 2.91-2.96
Na 0.1709 0.8291 0.5000  6 S 2.88-2.92
S 0.6005 0.9241 0.7711  1 Pa 2.68, 2 Cd 2.76, 3 Na 2.88-2.92
Na 0.5000 0.5000 0.5000  6 S 2.88-2.96


Record 2
DFT (GGA-PBE) results for crystalline Na2PaCdS4 at its relaxed geometry.

Results
energy relative to the elements, uncorrected: -1221 meV per atom
energy: -39.33 eV for the cell shown
DOS at the Fermi energy: 0.61 states/eV per atom

a = 3.9766 Å, b = 6.8168 Å, c = 7.1567 Å
α = 109.53°, β = 90.00°, γ = 90.00°
With the nearest neighbours (Å) after each atom.
Atoms (fractional coordinates):
Cd 0.0000 0.0000 0.0000  6 S 2.73-2.86
S 0.0000 0.7342 0.2362  2 Pa 2.75, 3 Na 2.85-2.92, 1 Cd 2.86
Na 0.5000 0.0000 0.5000  6 S 2.92-2.99
Pa 0.5000 0.5000 0.0000  6 S 2.73-2.75
Na 0.0000 0.5000 0.5000  6 S 2.85-2.94
S 0.5000 0.7567 0.7784  1 Pa 2.73, 2 Cd 2.73, 3 Na 2.94-2.99
S 0.0000 0.2658 0.7638  2 Pa 2.75, 3 Na 2.85-2.92, 1 Cd 2.86
S 0.5000 0.2433 0.2216  1 Pa 2.73, 2 Cd 2.73, 3 Na 2.94-2.99


Record 3
DFT (GGA-PBE) results for crystalline Na3PaCd2Se6 at its relaxed geometry.

Results
energy relative to the elements, uncorrected: -1046 meV per atom
energy: -48.75 eV for the cell shown

a = 7.0491 Å, b = 7.0491 Å, c = 7.4519 Å
α = 99.09°, β = 99.09°, γ = 119.97°
With the nearest neighbours (Å) after each atom.
Atoms (fractional coordinates):
Se 0.0761 0.4022 0.2300  1 Pa 2.81, 2 Cd 2.88, 3 Na 3.01-3.04
Se 0.5978 0.9239 0.7700  1 Pa 2.81, 2 Cd 2.88, 3 Na 3.01-3.04
Se 0.7512 0.7512 0.2294  1 Pa 2.81, 2 Cd 2.87, 3 Na 3.03-3.08
Se 0.9239 0.5978 0.7700  1 Pa 2.81, 2 Cd 2.88, 3 Na 3.01-3.04
Cd 0.3340 0.6660 0.0000  6 Se 2.87-2.88
Na 0.8303 0.1697 0.5000  6 Se 3.01-3.04
Na 0.5000 0.5000 0.5000  6 Se 3.01-3.08
Se 0.2488 0.2488 0.7706  1 Pa 2.81, 2 Cd 2.87, 3 Na 3.03-3.08
Se 0.4022 0.0761 0.2300  1 Pa 2.81, 2 Cd 2.88, 3 Na 3.01-3.04
Pa 0.0000 0.0000 0.0000  6 Se 2.81
Na 0.1697 0.8303 0.5000  6 Se 3.01-3.04
Cd 0.6660 0.3340 0.0000  6 Se 2.87-2.88


Record 4
DFT (GGA-PBE) results for crystalline Na2PaCdSe4 at its relaxed geometry.

Results
energy relative to the elements, uncorrected: -1105 meV per atom
energy: -35.83 eV for the cell shown
DOS at the Fermi energy: 0.72 states/eV per atom

a = 4.1471 Å, b = 7.1368 Å, c = 7.4764 Å
α = 109.59°, β = 90.00°, γ = 90.00°
With the nearest neighbours (Å) after each atom.
Atoms (fractional coordinates):
Na 0.5000 0.0000 0.5000  6 Se 3.04-3.11
Se 0.0000 0.2652 0.7609  2 Pa 2.88, 3 Na 2.97-3.04, 1 Cd 3.01
Se 0.5000 0.7592 0.7781  2 Cd 2.84, 1 Pa 2.87, 3 Na 3.08-3.11
Se 0.0000 0.7348 0.2391  2 Pa 2.88, 3 Na 2.97-3.04, 1 Cd 3.01
Na 0.0000 0.5000 0.5000  6 Se 2.97-3.08
Pa 0.5000 0.5000 0.0000  6 Se 2.87-2.88
Se 0.5000 0.2408 0.2219  2 Cd 2.84, 1 Pa 2.87, 3 Na 3.08-3.11
Cd 0.0000 0.0000 0.0000  6 Se 2.84-3.01


Record 5
DFT (GGA-PBE) results for crystalline Na2PaCdTe4 at its relaxed geometry.

Results
energy relative to the elements, uncorrected: -756 meV per atom
energy: -31.66 eV for the cell shown
DOS at the Fermi energy: 0.79 states/eV per atom

a = 4.4002 Å, b = 7.7321 Å, c = 7.9890 Å
α = 109.42°, β = 90.00°, γ = 90.00°
With the nearest neighbours (Å) after each atom.
Atoms (fractional coordinates):
Pa 0.5000 0.5000 0.0000  6 Te 3.09
Cd 0.0000 0.0000 0.0000  6 Te 3.03-3.23
Te 0.0000 0.2629 0.7595  2 Pa 3.09, 3 Na 3.19-3.24, 1 Cd 3.23
Na 0.0000 0.5000 0.5000  6 Te 3.19-3.30
Te 0.0000 0.7371 0.2405  2 Pa 3.09, 3 Na 3.19-3.24, 1 Cd 3.23
Te 0.5000 0.2396 0.2206  2 Cd 3.03, 1 Pa 3.09, 3 Na 3.30-3.34
Na 0.5000 0.0000 0.5000  6 Te 3.24-3.34
Te 0.5000 0.7604 0.7794  2 Cd 3.03, 1 Pa 3.09, 3 Na 3.30-3.34


Record 6
DFT (GGA-PBE) results for crystalline Na3Cd5Pb2 at its relaxed geometry.

Results
formation energy from the elements: -0.045 eV per atom
energy: -32.79 eV for the cell shown
DOS at the Fermi energy: 0.35 states/eV per atom

a = 5.7679 Å, b = 10.4501 Å, c = 10.4501 Å
α = 66.68°, β = 73.98°, γ = 73.98°
With the nearest neighbours (Å) after each atom.
Atoms (fractional coordinates):
Cd 0.0678 0.1822 0.1822  4 Cd 2.88-2.96, 1 Na 3.00
Na 0.1737 0.0947 0.5580  6 Cd 3.26-3.64, 2 Pb 3.49
Na 0.6737 0.5580 0.0947  6 Cd 3.26-3.64, 2 Pb 3.49
Pb 0.0561 0.7043 0.1835  1 Cd 2.99, 2 Na 3.24
Cd 0.1649 0.3867 0.2835  6 Cd 2.96-3.13, 1 Pb 2.99, 1 Na 3.26
Na 0.3263 0.4420 0.9053  6 Cd 3.26-3.64, 2 Pb 3.49
Cd 0.6649 0.2835 0.3867  6 Cd 2.96-3.13, 1 Pb 2.99, 1 Na 3.26
Cd 0.7500 0.5000 0.5000  6 Cd 2.88-3.13
Na 0.2500 0.0000 0.0000  2 Na 2.88, 2 Cd 3.00
Cd 0.9322 0.8178 0.8178  4 Cd 2.88-2.96, 1 Na 3.00
Na 0.7500 0.0000 0.0000  2 Na 2.88, 2 Cd 3.00
Cd 0.3351 0.7165 0.6133  6 Cd 2.96-3.13, 1 Pb 2.99, 1 Na 3.26
Cd 0.2500 0.5000 0.5000  6 Cd 2.88-3.13
Na 0.8263 0.9053 0.4420  6 Cd 3.26-3.64, 2 Pb 3.49
Pb 0.4439 0.8165 0.2957  1 Cd 2.99, 2 Na 3.24
Cd 0.8351 0.6133 0.7165  6 Cd 2.96-3.13, 1 Pb 2.99, 1 Na 3.26
Cd 0.5678 0.1822 0.1822  4 Cd 2.88-2.96, 1 Na 3.00
Pb 0.9439 0.2957 0.8165  1 Cd 2.99, 2 Na 3.24
Cd 0.4322 0.8178 0.8178  4 Cd 2.88-2.96, 1 Na 3.00
Pb 0.5561 0.1835 0.7043  1 Cd 2.99, 2 Na 3.24


Record 7
DFT (GGA-PBE) results for crystalline Na6Cd3Pb at its relaxed geometry.

Results
formation energy from the elements: -0.054 eV per atom
energy: -29.82 eV for the cell shown
DOS at the Fermi energy: 0.27 states/eV per atom

a = 3.3493 Å, b = 12.6336 Å, c = 13.6245 Å
α = 101.09°, β = 90.00°, γ = 90.00°
With the nearest neighbours (Å) after each atom.
Atoms (fractional coordinates):
Na 0.7500 0.5045 0.6873  4 Cd 3.14-3.29, 7 Na 3.35-3.49
Na 0.7500 0.1268 0.4833  8 Na 3.35-3.72, 3 Pb 3.49-3.57, 2 Cd 3.58
Cd 0.7500 0.6205 0.5032  5 Na 3.14-3.45, 4 Cd 3.35-3.46
Cd 0.7500 0.4295 0.9059  6 Na 3.15-3.46, 4 Cd 3.29-3.35
Na 0.2500 0.6559 0.8920  4 Cd 3.15-3.40, 6 Na 3.35-3.49
Pb 0.7500 0.0356 0.7154  7 Na 3.17-3.49, 2 Pb 3.35
Cd 0.2500 0.9281 0.9117  6 Na 3.19-3.40, 4 Cd 3.20-3.35
Cd 0.2500 0.3795 0.4968  5 Na 3.14-3.45, 4 Cd 3.35-3.46
Na 0.2500 0.8732 0.5167  8 Na 3.35-3.72, 3 Pb 3.49-3.57, 2 Cd 3.58
Na 0.2500 0.2146 0.2818  1 Pb 3.17, 3 Cd 3.25-3.34, 5 Na 3.35-3.55
Na 0.7500 0.3441 0.1080  4 Cd 3.15-3.40, 6 Na 3.35-3.49
Na 0.7500 0.7307 0.2906  5 Na 3.21-3.47, 2 Pb 3.41, 3 Cd 3.45-3.46
Cd 0.2500 0.5705 0.0941  6 Na 3.15-3.46, 4 Cd 3.29-3.35
Na 0.2500 0.1811 0.9154  3 Cd 3.19-3.39, 5 Na 3.21-3.44, 2 Pb 3.42
Na 0.2500 0.2693 0.7094  5 Na 3.21-3.47, 2 Pb 3.41, 3 Cd 3.45-3.46
Na 0.7500 0.8189 0.0846  3 Cd 3.19-3.39, 5 Na 3.21-3.44, 2 Pb 3.42
Cd 0.7500 0.0719 0.0883  6 Na 3.19-3.40, 4 Cd 3.20-3.35
Na 0.2500 0.4955 0.3127  4 Cd 3.14-3.29, 7 Na 3.35-3.49
Na 0.7500 0.7854 0.7182  1 Pb 3.17, 3 Cd 3.25-3.34, 5 Na 3.35-3.55
Pb 0.2500 0.9644 0.2846  7 Na 3.17-3.49, 2 Pb 3.35


Record 8
DFT (GGA-PBE) results for crystalline Na2Cd2Pb7 at its relaxed geometry.

Results
formation energy from the elements: -0.001 eV per atom
energy: -30.44 eV for the cell shown
DOS at the Fermi energy: 0.42 states/eV per atom

a = 5.7641 Å, b = 8.2151 Å, c = 8.2151 Å
α = 88.34°, β = 69.77°, γ = 69.77°
With the nearest neighbours (Å) after each atom.
Atoms (fractional coordinates):
Cd 0.5957 0.7866 0.7866  5 Pb 3.13-3.25, 2 Na 3.31
Cd 0.4043 0.2134 0.2134  5 Pb 3.13-3.25, 2 Na 3.31
Pb 0.7816 0.3473 0.3473  2 Cd 3.15-3.25, 1 Pb 3.50
Na 0.5000 0.2081 0.7919  2 Cd 3.31, 6 Pb 3.39-3.47
Pb 0.8347 0.9124 0.4208  1 Cd 3.15, 4 Pb 3.33-3.44, 3 Na 3.39-3.47
Na 0.5000 0.7919 0.2081  2 Cd 3.31, 6 Pb 3.39-3.47
Pb 0.2184 0.6527 0.6527  2 Cd 3.15-3.25, 1 Pb 3.50
Pb 0.1653 0.5792 0.0876  1 Cd 3.15, 4 Pb 3.33-3.44, 3 Na 3.39-3.47
Pb 0.8347 0.4208 0.9124  1 Cd 3.15, 4 Pb 3.33-3.44, 3 Na 3.39-3.47
Pb 0.0000 0.0000 0.0000  2 Cd 3.13, 4 Pb 3.38
Pb 0.1653 0.0876 0.5792  1 Cd 3.15, 4 Pb 3.33-3.44, 3 Na 3.39-3.47


Record 9
DFT (GGA-PBE) results for crystalline NaCdPb5 at its relaxed geometry.

Results
formation energy from the elements: -0.003 eV per atom
energy: -41.60 eV for the cell shown
DOS at the Fermi energy: 0.53 states/eV per atom

a = 6.4800 Å, b = 9.1277 Å, c = 8.6761 Å
α = 121.74°, β = 99.89°, γ = 90.00°
With the nearest neighbours (Å) after each atom.
Atoms (fractional coordinates):
Pb 0.6497 0.0534 0.7085  2 Cd 3.33-3.34, 1 Na 3.33, 8 Pb 3.37-3.72
Pb 0.1497 0.1551 0.7085  2 Cd 3.33-3.34, 1 Na 3.33, 8 Pb 3.37-3.72
Pb 0.2500 0.3778 0.5000  3 Cd 3.32-3.42, 6 Pb 3.47-3.51
Pb 0.3503 0.9466 0.2915  2 Cd 3.33-3.34, 1 Na 3.33, 8 Pb 3.37-3.72
Na 0.0000 0.0000 0.0000  6 Pb 3.31-3.49
Pb 0.9976 0.5881 0.8715  1 Cd 3.17, 2 Na 3.31-3.49, 4 Pb 3.36-3.51
Pb 0.0024 0.4119 0.1285  1 Cd 3.17, 2 Na 3.31-3.49, 4 Pb 3.36-3.51
Cd 0.7500 0.2588 0.5000  9 Pb 3.17-3.42
Cd 0.2500 0.7412 0.5000  9 Pb 3.17-3.42
Pb 0.4976 0.7834 0.8715  1 Cd 3.17, 2 Na 3.31-3.49, 4 Pb 3.36-3.51
Pb 0.5024 0.2166 0.1285  1 Cd 3.17, 2 Na 3.31-3.49, 4 Pb 3.36-3.51
Na 0.5000 0.5000 0.0000  6 Pb 3.31-3.49
Pb 0.8503 0.8449 0.2915  2 Cd 3.33-3.34, 1 Na 3.33, 8 Pb 3.37-3.72
Pb 0.7500 0.6222 0.5000  3 Cd 3.32-3.42, 6 Pb 3.47-3.51


Record 10
DFT (GGA-PBE) results for crystalline Na12Cd6Pb at its relaxed geometry.

Results
formation energy from the elements: -0.065 eV per atom
energy: -26.26 eV for the cell shown
DOS at the Fermi energy: 0.43 states/eV per atom

a = 8.2355 Å, b = 8.2355 Å, c = 8.2355 Å
α = 88.64°, β = 88.64°, γ = 88.64°
With the nearest neighbours (Å) after each atom.
Atoms (fractional coordinates):
Na 0.0272 0.1518 0.3763  5 Na 3.22-3.57, 4 Cd 3.33-3.53, 1 Pb 3.38
Na 0.9728 0.8482 0.6237  5 Na 3.22-3.57, 4 Cd 3.33-3.53, 1 Pb 3.38
Na 0.4285 0.8058 0.5262  4 Cd 3.27-3.52, 5 Na 3.39-3.57
Na 0.8482 0.6237 0.9728  5 Na 3.22-3.57, 4 Cd 3.33-3.53, 1 Pb 3.38
Na 0.1518 0.3763 0.0272  5 Na 3.22-3.57, 4 Cd 3.33-3.53, 1 Pb 3.38
Na 0.8058 0.5262 0.4285  4 Cd 3.27-3.52, 5 Na 3.39-3.57
Na 0.1942 0.4738 0.5715  4 Cd 3.27-3.52, 5 Na 3.39-3.57
Cd 0.2622 0.1113 0.7289  1 Pb 3.20, 8 Na 3.27-3.53, 2 Cd 3.32
Cd 0.7378 0.8887 0.2711  1 Pb 3.20, 8 Na 3.27-3.53, 2 Cd 3.32
Na 0.6237 0.9728 0.8482  5 Na 3.22-3.57, 4 Cd 3.33-3.53, 1 Pb 3.38
Na 0.5262 0.4285 0.8058  4 Cd 3.27-3.52, 5 Na 3.39-3.57
Pb 0.0000 0.0000 0.0000  6 Cd 3.20, 6 Na 3.38
Cd 0.8887 0.2711 0.7378  1 Pb 3.20, 8 Na 3.27-3.53, 2 Cd 3.32
Na 0.4738 0.5715 0.1942  4 Cd 3.27-3.52, 5 Na 3.39-3.57
Cd 0.7289 0.2622 0.1113  1 Pb 3.20, 8 Na 3.27-3.53, 2 Cd 3.32
Na 0.5715 0.1942 0.4738  4 Cd 3.27-3.52, 5 Na 3.39-3.57
Cd 0.1113 0.7289 0.2622  1 Pb 3.20, 8 Na 3.27-3.53, 2 Cd 3.32
Cd 0.2711 0.7378 0.8887  1 Pb 3.20, 8 Na 3.27-3.53, 2 Cd 3.32
Na 0.3763 0.0272 0.1518  5 Na 3.22-3.57, 4 Cd 3.33-3.53, 1 Pb 3.38


Record 11
DFT (GGA-PBE) results for crystalline Na2CdPb at its relaxed geometry.

Results
formation energy from the elements: 0.023 eV per atom
energy: -7.17 eV for the cell shown
DOS at the Fermi energy: 0.70 states/eV per atom

a = 3.4597 Å, b = 3.4597 Å, c = 11.7127 Å
α = 81.51°, β = 81.51°, γ = 60.00°
With the nearest neighbours (Å) after each atom.
Atoms (fractional coordinates):
Pb 0.0000 0.0000 0.0000  2 Na 3.19, 6 Pb 3.46
Cd 0.5000 0.5000 0.5000  6 Na 3.26, 6 Cd 3.46
Na 0.0922 0.0922 0.7235  1 Pb 3.19, 3 Cd 3.26, 6 Na 3.46
Na 0.9078 0.9078 0.2765  1 Pb 3.19, 3 Cd 3.26, 6 Na 3.46


Record 12
DFT (GGA-PBE) results for crystalline Na3Cd2Pb4 at its relaxed geometry.

Results
formation energy from the elements: -0.107 eV per atom
energy: -21.58 eV for the cell shown
DOS at the Fermi energy: 0.26 states/eV per atom

a = 5.0533 Å, b = 5.9209 Å, c = 9.6196 Å
α = 85.96°, β = 90.00°, γ = 115.26°
With the nearest neighbours (Å) after each atom.
Atoms (fractional coordinates):
Pb 0.0733 0.1466 0.3375  4 Cd 3.14-3.45, 3 Pb 3.39-3.49, 4 Na 3.40-3.43
Pb 0.9267 0.8534 0.6625  4 Cd 3.14-3.45, 3 Pb 3.39-3.49, 4 Na 3.40-3.43
Pb 0.3112 0.6224 0.8871  1 Cd 3.03, 1 Na 3.38
Na 0.0000 0.0000 0.0000  8 Pb 3.40-3.46, 4 Na 3.55
Na 0.6156 0.2313 0.7648  3 Cd 3.31-3.57, 7 Pb 3.38-3.54, 2 Na 3.55
Pb 0.6888 0.3776 0.1129  1 Cd 3.03, 1 Na 3.38
Cd 0.7528 0.5055 0.4140  2 Cd 3.02, 4 Pb 3.03-3.29, 2 Na 3.31
Na 0.3844 0.7687 0.2352  3 Cd 3.31-3.57, 7 Pb 3.38-3.54, 2 Na 3.55
Cd 0.2472 0.4945 0.5860  2 Cd 3.02, 4 Pb 3.03-3.29, 2 Na 3.31


Question: Which value of energy does entry 12 give?
Answer: -21.58 eV for the cell shown